Entry 1:
# PBE-GGA BaAcZn4, optimized geometry
# Uncorrected energy in eV/atom: -2.08
# Energy of formation from the pure elements in eV per atom: -0.22
# DOS(E_F) in states/eV/cell: 5.9
data_BaAcZn4
_space_group_name_H-M_alt 'P 1'
_space_group_IT_number 1
_space_group_name_Hall 'P 1'
_cell_length_a 4.591
_cell_length_b 6.381
_cell_length_c 6.381
_cell_angle_alpha 80.35
_cell_angle_beta 68.92
_cell_angle_gamma 68.92
loop_
_atom_site_label
_atom_site_type_symbol
_atom_site_fract_x
_atom_site_fract_y
_atom_site_fract_z
_atom_site_occupancy
Zn1 Zn 0.761 0.905 0.573 1
Zn2 Zn 0.239 0.427 0.095 1
Ac1 Ac 0.500 0.500 0.500 1
Zn3 Zn 0.239 0.095 0.427 1
Zn4 Zn 0.761 0.573 0.905 1
Ba1 Ba 0.000 0.000 0.000 1

Entry 2:
# PBE-GGA TcMo2As, optimized geometry
# Uncorrected energy in eV/atom: -8.97
# Energy of formation from the pure elements in eV per atom: 0.20
# DOS(E_F) in states/eV/cell: 6.2
data_TcMo2As
_space_group_name_H-M_alt 'P 1'
_space_group_IT_number 1
_space_group_name_Hall 'P 1'
_cell_length_a 8.812
_cell_length_b 8.812
_cell_length_c 8.812
_cell_angle_alpha 18.81
_cell_angle_beta 18.81
_cell_angle_gamma 18.81
loop_
_atom_site_label
_atom_site_type_symbol
_atom_site_fract_x
_atom_site_fract_y
_atom_site_fract_z
_atom_site_occupancy
Tc1 Tc 0.250 0.250 0.250 1
Mo1 Mo 0.500 0.500 0.500 1
Mo2 Mo 0.000 0.000 0.000 1
As1 As 0.750 0.750 0.750 1

Entry 3:
# PBE-GGA Al2GeN, optimized geometry
# Uncorrected energy in eV/atom: -4.30
# Energy relative to the elements, uncorrected in eV/atom: 0.804
# DOS(E_F) in states/eV/cell: 2.0
data_Al2GeN
_space_group_name_H-M_alt 'P 1'
_space_group_IT_number 1
_space_group_name_Hall 'P 1'
_cell_length_a 4.290
_cell_length_b 4.290
_cell_length_c 4.290
_cell_angle_alpha 60.00
_cell_angle_beta 60.00
_cell_angle_gamma 60.00
loop_
_atom_site_label
_atom_site_type_symbol
_atom_site_fract_x
_atom_site_fract_y
_atom_site_fract_z
_atom_site_occupancy
N1 N 0.000 0.000 0.000 1
Al1 Al 0.250 0.250 0.250 1
Ge1 Ge 0.500 0.500 0.500 1
Al2 Al 0.750 0.750 0.750 1

Entry 4:
# PBE-GGA Tb5DySn4, optimized geometry
# Uncorrected energy in eV/atom: -4.70
# Energy of formation from the pure elements in eV per atom: -0.32
# DOS(E_F) in states/eV/cell: 8.3
data_Tb5DySn4
_space_group_name_H-M_alt 'P 1'
_space_group_IT_number 1
_space_group_name_Hall 'P 1'
_cell_length_a 3.692
_cell_length_b 9.589
_cell_length_c 9.708
_cell_angle_alpha 105.92
_cell_angle_beta 100.96
_cell_angle_gamma 90.00
loop_
_atom_site_label
_atom_site_type_symbol
_atom_site_fract_x
_atom_site_fract_y
_atom_site_fract_z
_atom_site_occupancy
Tb1 Tb 0.825 0.641 0.651 1
Sn1 Sn 0.668 0.089 0.337 1
Sn2 Sn 0.332 0.911 0.663 1
Sn3 Sn 0.995 0.745 0.990 1
Dy1 Dy 0.500 0.000 0.000 1
Tb2 Tb 0.500 0.500 0.000 1
Tb3 Tb 0.164 0.818 0.329 1
Sn4 Sn 0.005 0.255 0.010 1
Tb4 Tb 0.175 0.359 0.349 1
Tb5 Tb 0.836 0.182 0.671 1

Entry 5:
# PBE-GGA YCdPO2, optimized geometry
# Uncorrected energy in eV/atom: -5.11
# Energy relative to the elements, uncorrected in eV/atom: -0.569
# DOS(E_F) in states/eV/cell: 3.1
data_YCdPO2
_space_group_name_H-M_alt 'P 1'
_space_group_IT_number 1
_space_group_name_Hall 'P 1'
_cell_length_a 4.188
_cell_length_b 4.188
_cell_length_c 4.932
_cell_angle_alpha 90.00
_cell_angle_beta 90.00
_cell_angle_gamma 90.00
loop_
_atom_site_label
_atom_site_type_symbol
_atom_site_fract_x
_atom_site_fract_y
_atom_site_fract_z
_atom_site_occupancy
Y1 Y 0.500 0.500 0.500 1
P1 P 0.000 0.000 0.500 1
Cd1 Cd 0.000 0.000 0.000 1
O1 O 0.000 0.500 0.000 1
O2 O 0.500 0.000 0.000 1

Entry 6:
# PBE-GGA AlCdTc2W, optimized geometry
# Uncorrected energy in eV/atom: -6.03
# Energy of formation from the pure elements in eV per atom: 1.64
# DOS(E_F) in states/eV/cell: 9.4
data_AlCdTc2W
_space_group_name_H-M_alt 'P 1'
_space_group_IT_number 1
_space_group_name_Hall 'P 1'
_cell_length_a 4.497
_cell_length_b 4.482
_cell_length_c 4.497
_cell_angle_alpha 90.00
_cell_angle_beta 90.00
_cell_angle_gamma 90.00
loop_
_atom_site_label
_atom_site_type_symbol
_atom_site_fract_x
_atom_site_fract_y
_atom_site_fract_z
_atom_site_occupancy
Tc1 Tc 0.500 0.000 0.000 1
Al1 Al 0.000 0.000 0.000 1
Cd1 Cd 0.000 0.500 0.000 1
Tc2 Tc 0.000 0.000 0.500 1
W1 W 0.500 0.500 0.500 1

Entry 7:
# PBE-GGA Y2ZrHg, optimized geometry
# Uncorrected energy in eV/atom: -5.48
# Energy of formation from the pure elements in eV per atom: -0.03
# DOS(E_F) in states/eV/cell: 5.2
data_Y2ZrHg
_space_group_name_H-M_alt 'P 1'
_space_group_IT_number 1
_space_group_name_Hall 'P 1'
_cell_length_a 6.271
_cell_length_b 6.271
_cell_length_c 5.215
_cell_angle_alpha 65.52
_cell_angle_beta 65.52
_cell_angle_gamma 34.95
loop_
_atom_site_label
_atom_site_type_symbol
_atom_site_fract_x
_atom_site_fract_y
_atom_site_fract_z
_atom_site_occupancy
Zr1 Zr 0.750 0.750 0.750 1
Hg1 Hg 0.250 0.250 0.250 1
Y1 Y 0.978 0.978 0.022 1
Y2 Y 0.522 0.522 0.478 1

Entry 8:
# PBE-GGA La6FeSe2I3, optimized geometry
# Uncorrected energy in eV/atom: -5.32
# Energy relative to the elements, uncorrected in eV/atom: -1.185
# DOS(E_F) in states/eV/cell: 9.9
data_La6FeSe2I3
_space_group_name_H-M_alt 'P 1'
_space_group_IT_number 1
_space_group_name_Hall 'P 1'
_cell_length_a 7.578
_cell_length_b 7.578
_cell_length_c 8.085
_cell_angle_alpha 99.43
_cell_angle_beta 99.43
_cell_angle_gamma 119.39
loop_
_atom_site_label
_atom_site_type_symbol
_atom_site_fract_x
_atom_site_fract_y
_atom_site_fract_z
_atom_site_occupancy
Se1 Se 0.332 0.668 0.000 1
La1 La 0.250 0.250 0.787 1
La2 La 0.750 0.750 0.213 1
La3 La 0.067 0.362 0.193 1
I1 I 0.819 0.181 0.500 1
I2 I 0.181 0.819 0.500 1
La4 La 0.638 0.933 0.807 1
Fe1 Fe 0.000 0.000 0.000 1
I3 I 0.500 0.500 0.500 1
La5 La 0.933 0.638 0.807 1
Se2 Se 0.668 0.332 0.000 1
La6 La 0.362 0.067 0.193 1

Entry 9:
# PBE-GGA PaCoTe2, optimized geometry
# Uncorrected energy in eV/atom: -6.35
# Energy relative to the elements, uncorrected in eV/atom: -0.634
data_PaCoTe2
_space_group_name_H-M_alt 'P 1'
_space_group_IT_number 1
_space_group_name_Hall 'P 1'
_cell_length_a 3.975
_cell_length_b 4.017
_cell_length_c 8.042
_cell_angle_alpha 101.04
_cell_angle_beta 114.81
_cell_angle_gamma 94.29
loop_
_atom_site_label
_atom_site_type_symbol
_atom_site_fract_x
_atom_site_fract_y
_atom_site_fract_z
_atom_site_occupancy
Pa1 Pa 0.638 0.476 0.946 1
Te1 Te 0.062 0.114 0.282 1
Co1 Co 0.375 0.130 0.058 1
Te2 Te 0.926 0.817 0.715 1

Entry 10:
# PBE-GGA PuMoH, optimized geometry
# Uncorrected energy in eV/atom: -9.43
# DOS(E_F) in states/eV/cell: 21.4
data_PuMoH
_space_group_name_H-M_alt 'P 1'
_space_group_IT_number 1
_space_group_name_Hall 'P 1'
_cell_length_a 5.185
_cell_length_b 5.376
_cell_length_c 7.259
_cell_angle_alpha 90.00
_cell_angle_beta 90.00
_cell_angle_gamma 118.87
loop_
_atom_site_label
_atom_site_type_symbol
_atom_site_fract_x
_atom_site_fract_y
_atom_site_fract_z
_atom_site_occupancy
H1 H 0.608 0.717 0.750 1
Pu1 Pu 0.188 0.376 0.562 1
Pu2 Pu 0.688 0.376 0.938 1
Mo1 Mo 0.502 0.004 0.672 1
Pu3 Pu 0.312 0.624 0.062 1
H2 H 0.892 0.283 0.250 1
H3 H 0.108 0.717 0.750 1
Pu4 Pu 0.812 0.624 0.438 1
H4 H 0.392 0.283 0.250 1
Mo2 Mo 0.498 0.996 0.328 1
Mo3 Mo 0.998 0.996 0.172 1
Mo4 Mo 0.002 0.004 0.828 1

Entry 11:
# PBE-GGA Ga2HgPb2, optimized geometry
# Uncorrected energy in eV/atom: -2.70
# Energy of formation from the pure elements in eV per atom: 0.06
# DOS(E_F) in states/eV/cell: 2.5
data_Ga2HgPb2
_space_group_name_H-M_alt 'P 1'
_space_group_IT_number 1
_space_group_name_Hall 'P 1'
_cell_length_a 7.207
_cell_length_b 7.207
_cell_length_c 4.930
_cell_angle_alpha 90.00
_cell_angle_beta 90.00
_cell_angle_gamma 90.00
loop_
_atom_site_label
_atom_site_type_symbol
_atom_site_fract_x
_atom_site_fract_y
_atom_site_fract_z
_atom_site_occupancy
Hg1 Hg 0.500 0.500 0.000 1
Ga1 Ga 0.131 0.369 0.000 1
Hg2 Hg 0.000 0.000 0.000 1
Ga2 Ga 0.869 0.631 0.000 1
Ga3 Ga 0.631 0.131 0.000 1
Pb1 Pb 0.176 0.676 0.500 1
Pb2 Pb 0.824 0.324 0.500 1
Pb3 Pb 0.676 0.824 0.500 1
Pb4 Pb 0.324 0.176 0.500 1
Ga4 Ga 0.369 0.869 0.000 1

Entry 12:
# PBE-GGA MgFeMoPt2, optimized geometry
# Uncorrected energy in eV/atom: -5.67
# Energy of formation from the pure elements in eV per atom: 0.93
# DOS(E_F) in states/eV/cell: 4.2
data_MgFeMoPt2
_space_group_name_H-M_alt 'P 1'
_space_group_IT_number 1
_space_group_name_Hall 'P 1'
_cell_length_a 4.605
_cell_length_b 4.454
_cell_length_c 4.605
_cell_angle_alpha 90.00
_cell_angle_beta 90.00
_cell_angle_gamma 90.00
loop_
_atom_site_label
_atom_site_type_symbol
_atom_site_fract_x
_atom_site_fract_y
_atom_site_fract_z
_atom_site_occupancy
Mo1 Mo 0.500 0.500 0.500 1
Pt1 Pt 0.000 0.000 0.500 1
Mg1 Mg 0.000 0.500 0.000 1
Fe1 Fe 0.000 0.000 0.000 1
Pt2 Pt 0.500 0.000 0.000 1

Entry 13:
# PBE-GGA Pu4Pt3, optimized geometry
# Uncorrected energy in eV/atom: -11.47
# Energy of formation from the pure elements in eV per atom: -0.69
# DOS(E_F) in states/eV/cell: 65.5
data_Pu4Pt3
_space_group_name_H-M_alt 'P 1'
_space_group_IT_number 1
_space_group_name_Hall 'P 1'
_cell_length_a 7.536
_cell_length_b 7.536
_cell_length_c 7.536
_cell_angle_alpha 109.47
_cell_angle_beta 109.47
_cell_angle_gamma 109.47
loop_
_atom_site_label
_atom_site_type_symbol
_atom_site_fract_x
_atom_site_fract_y
_atom_site_fract_z
_atom_site_occupancy
Pu1 Pu 0.143 0.643 0.643 1
Pt1 Pt 0.750 0.625 0.375 1
Pt2 Pt 0.625 0.750 0.875 1
Pu2 Pu 0.357 0.500 0.000 1
Pu3 Pu 0.857 0.500 0.000 1
Pt3 Pt 0.250 0.875 0.125 1
Pu4 Pu 0.000 0.000 0.857 1
Pt4 Pt 0.375 0.125 0.750 1
Pt5 Pt 0.875 0.250 0.625 1
Pu5 Pu 0.000 0.000 0.357 1
Pu6 Pu 0.500 0.357 0.500 1
Pu7 Pu 0.500 0.857 0.500 1
Pt6 Pt 0.125 0.375 0.250 1
Pu8 Pu 0.643 0.143 0.143 1

Entry 14:
# PBE-GGA LiCaIn2, optimized geometry
# Uncorrected energy in eV/atom: -2.63
# Energy of formation from the pure elements in eV per atom: -0.28
# DOS(E_F) in states/eV/cell: 1.9
data_LiCaIn2
_space_group_name_H-M_alt 'P 1'
_space_group_IT_number 1
_space_group_name_Hall 'P 1'
_cell_length_a 5.433
_cell_length_b 5.433
_cell_length_c 5.433
_cell_angle_alpha 126.88
_cell_angle_beta 126.88
_cell_angle_gamma 78.45
loop_
_atom_site_label
_atom_site_type_symbol
_atom_site_fract_x
_atom_site_fract_y
_atom_site_fract_z
_atom_site_occupancy
Li1 Li 0.500 0.500 0.000 1
Ca1 Ca 0.750 0.250 0.500 1
In1 In 0.250 0.750 0.500 1
In2 In 0.000 0.000 0.000 1

Entry 15:
# PBE-GGA Pu2AgSe, optimized geometry
# Uncorrected energy in eV/atom: -9.24
# Energy relative to the elements, uncorrected in eV/atom: -0.489
# DOS(E_F) in states/eV/cell: 20.5
data_Pu2AgSe
_space_group_name_H-M_alt 'P 1'
_space_group_IT_number 1
_space_group_name_Hall 'P 1'
_cell_length_a 3.992
_cell_length_b 3.992
_cell_length_c 8.179
_cell_angle_alpha 75.88
_cell_angle_beta 75.88
_cell_angle_gamma 60.00
loop_
_atom_site_label
_atom_site_type_symbol
_atom_site_fract_x
_atom_site_fract_y
_atom_site_fract_z
_atom_site_occupancy
Se1 Se 0.000 0.000 0.000 1
Pu1 Pu 0.744 0.744 0.768 1
Pu2 Pu 0.256 0.256 0.232 1
Ag1 Ag 0.500 0.500 0.500 1

Entry 16:
# PBE-GGA CsCuSeN2, optimized geometry
# Uncorrected energy in eV/atom: -3.45
# Energy relative to the elements, uncorrected in eV/atom: 1.572
# DOS(E_F) in states/eV/cell: 5.3
data_CsCuSeN2
_space_group_name_H-M_alt 'P 1'
_space_group_IT_number 1
_space_group_name_Hall 'P 1'
_cell_length_a 4.322
_cell_length_b 4.322
_cell_length_c 4.893
_cell_angle_alpha 90.00
_cell_angle_beta 90.00
_cell_angle_gamma 90.00
loop_
_atom_site_label
_atom_site_type_symbol
_atom_site_fract_x
_atom_site_fract_y
_atom_site_fract_z
_atom_site_occupancy
Cs1 Cs 0.500 0.500 0.500 1
N1 N 0.500 0.000 0.000 1
Se1 Se 0.000 0.000 0.500 1
N2 N 0.000 0.500 0.000 1
Cu1 Cu 0.000 0.000 0.000 1

Entry 17:
# PBE-GGA ErLuTh2, optimized geometry
# Uncorrected energy in eV/atom: -5.95
# Energy of formation from the pure elements in eV per atom: 0.03
# DOS(E_F) in states/eV/cell: 5.8
data_ErLuTh2
_space_group_name_H-M_alt 'P 1'
_space_group_IT_number 1
_space_group_name_Hall 'P 1'
_cell_length_a 3.545
_cell_length_b 3.545
_cell_length_c 11.579
_cell_angle_alpha 81.19
_cell_angle_beta 81.19
_cell_angle_gamma 60.00
loop_
_atom_site_label
_atom_site_type_symbol
_atom_site_fract_x
_atom_site_fract_y
_atom_site_fract_z
_atom_site_occupancy
Th1 Th 0.750 0.750 0.749 1
Er1 Er 0.000 0.000 0.000 1
Lu1 Lu 0.500 0.500 0.500 1
Th2 Th 0.250 0.250 0.251 1

Entry 18:
# PBE-GGA Sr2ReAs, optimized geometry
# Uncorrected energy in eV/atom: -4.57
# Energy of formation from the pure elements in eV per atom: 0.54
# DOS(E_F) in states/eV/cell: 4.1
data_Sr2ReAs
_space_group_name_H-M_alt 'P 1'
_space_group_IT_number 1
_space_group_name_Hall 'P 1'
_cell_length_a 5.562
_cell_length_b 5.562
_cell_length_c 5.562
_cell_angle_alpha 128.42
_cell_angle_beta 128.42
_cell_angle_gamma 75.94
loop_
_atom_site_label
_atom_site_type_symbol
_atom_site_fract_x
_atom_site_fract_y
_atom_site_fract_z
_atom_site_occupancy
Sr1 Sr 0.500 0.500 0.000 1
Sr2 Sr 0.000 0.000 0.000 1
Re1 Re 0.750 0.250 0.500 1
As1 As 0.250 0.750 0.500 1

Entry 19:
# PBE-GGA TbGa5Tc2, optimized geometry
# Uncorrected energy in eV/atom: -5.29
# Energy of formation from the pure elements in eV per atom: -0.23
# DOS(E_F) in states/eV/cell: 2.6
data_TbGa5Tc2
_space_group_name_H-M_alt 'P 1'
_space_group_IT_number 1
_space_group_name_Hall 'P 1'
_cell_length_a 3.532
_cell_length_b 6.723
_cell_length_c 6.723
_cell_angle_alpha 73.10
_cell_angle_beta 74.77
_cell_angle_gamma 74.77
loop_
_atom_site_label
_atom_site_type_symbol
_atom_site_fract_x
_atom_site_fract_y
_atom_site_fract_z
_atom_site_occupancy
Ga1 Ga 0.351 0.437 0.861 1
Tc1 Tc 0.759 0.741 0.741 1
Tb1 Tb 0.000 0.000 0.000 1
Ga2 Ga 0.351 0.861 0.437 1
Tc2 Tc 0.241 0.259 0.259 1
Ga3 Ga 0.649 0.139 0.563 1
Ga4 Ga 0.649 0.563 0.139 1
Ga5 Ga 0.000 0.500 0.500 1

Entry 20:
# PBE-GGA Cu2Ni8Rh, optimized geometry
# Uncorrected energy in eV/atom: -5.19
# Energy of formation from the pure elements in eV per atom: 0.42
# DOS(E_F) in states/eV/cell: 24.6
data_Cu2Ni8Rh
_space_group_name_H-M_alt 'P 1'
_space_group_IT_number 1
_space_group_name_Hall 'P 1'
_cell_length_a 4.049
_cell_length_b 4.640
_cell_length_c 10.301
_cell_angle_alpha 103.02
_cell_angle_beta 126.11
_cell_angle_gamma 90.00
loop_
_atom_site_label
_atom_site_type_symbol
_atom_site_fract_x
_atom_site_fract_y
_atom_site_fract_z
_atom_site_occupancy
Ni1 Ni 0.982 0.327 0.655 1
Rh1 Rh 0.000 0.000 0.000 1
Ni2 Ni 0.257 0.919 0.838 1
Ni3 Ni 0.589 0.614 0.726 1
Ni4 Ni 0.589 0.111 0.726 1
Cu1 Cu 0.815 0.772 0.544 1
Cu2 Cu 0.185 0.228 0.456 1
Ni5 Ni 0.743 0.081 0.162 1
Ni6 Ni 0.018 0.673 0.345 1
Ni7 Ni 0.411 0.386 0.274 1
Ni8 Ni 0.411 0.889 0.274 1